Record 1
ReTe2Au after structural relaxation, computed with PBE.

abc: 4.945 4.945 4.945
angles: 60.00 60.00 60.00
Fractional positions:
Te (0.250, 0.250, 0.250)
Te (0.000, 0.000, 0.000)
Au (0.500, 0.500, 0.500)
Re (0.750, 0.750, 0.750)

Computed properties:
ΔE_f (raw) in eV/atom: 1.11
Mass density in kg/m³: 12399

=====

Record 2
Ho3Cd2Ag7 after structural relaxation, computed with PBE.

abc: 5.139 4.868 11.103
angles: 102.66 90.00 90.00
Fractional positions:
Ag (0.000, 0.423, 0.847)
Ag (0.000, 0.577, 0.153)
Ag (0.500, 0.920, 0.839)
Ag (0.000, 0.276, 0.553)
Ag (0.000, 0.724, 0.447)
Ag (0.500, 0.080, 0.161)
Ag (0.000, 0.000, 0.000)
Cd (0.000, 0.145, 0.290)
Cd (0.000, 0.855, 0.710)
Ho (0.500, 0.500, 0.000)
Ho (0.500, 0.665, 0.331)
Ho (0.500, 0.335, 0.669)

Computed properties:
Mass density in kg/m³: 9036
ΔE_f in eV/atom: -0.041

=====

Record 3
HgSe after structural relaxation, computed with PBE.

abc: 4.422 6.488 13.995
angles: 90.00 90.00 90.00
Fractional positions:
Hg (0.000, 0.934, 0.134)
Hg (0.500, 0.066, 0.366)
Hg (0.500, 0.397, 0.000)
Hg (0.500, 0.066, 0.634)
Hg (0.000, 0.934, 0.866)
Hg (0.000, 0.603, 0.500)
Se (0.000, 0.839, 0.660)
Se (0.500, 0.161, 0.840)
Se (0.500, 0.358, 0.500)
Se (0.000, 0.839, 0.340)
Se (0.500, 0.161, 0.160)
Se (0.000, 0.642, 0.000)

Computed properties:
ΔE_f (raw) in eV/atom: -0.16
Mass density in kg/m³: 6937